# 1
VASP calculation (GGA-PBE) on crystalline Tl2TcI4F2 at its relaxed geometry.

Its formation energy from raw total energies is -0.90 eV per atom. The electronic total energy comes out at -3.68 eV/atom.

It has space group C2/m (No. 12), with a = 11.8718 Å, b = 8.1782 Å, c = 6.9727 Å, α = 90.00°, β = 101.22° and γ = 90.00°. The inequivalent atoms are Tl at (0.1567, 0.0000, 0.3792), Tc at (0.0000, 0.5000, 0.5000), I at (0.1064, 0.2626, 0.7526) and F at (0.1346, 0.5000, 0.3740).

# 2
VASP calculation (GGA-PBE) on crystalline LiPuTlO6 at its relaxed geometry.

Its formation energy from raw total energies is -1.56 eV per atom. The electronic total energy comes out at -6.93 eV/atom.

It has space group P312 (No. 149), with a = 5.3302 Å, b = 5.3302 Å, c = 4.8289 Å, α = 90.00°, β = 90.00° and γ = 120.00°. The inequivalent atoms are Li at (0.0000, 0.0000, 0.0000), Pu at (0.6667, 0.3333, 0.0000), Tl at (0.3333, 0.6667, 0.5000) and O at (0.3515, 0.0279, 0.2239).

# 3
VASP calculation (GGA-PBE) on crystalline TbHo3Ag4 at its relaxed geometry.

The electronic total energy comes out at -4.04 eV/atom. The energy of formation is -323.5 meV per atom.

It has space group Pmmm (No. 47), with a = 3.6021 Å, b = 5.1522 Å, c = 10.2963 Å, α = 90.00°, β = 90.00° and γ = 90.00°. The inequivalent atoms are Tb at (0.0000, 0.0000, 0.0000), Ho at (0.0000, 0.0000, 0.5000), Ho at (0.0000, 0.5000, 0.2505), Ag at (0.5000, 0.0000, 0.2524), Ag at (0.5000, 0.5000, 0.0000) and Ag at (0.5000, 0.5000, 0.5000).

# 4
VASP calculation (GGA-PBE) on crystalline GaRe3W at its relaxed geometry.

The electronic total energy comes out at -8.39 eV/atom. The energy of formation is 2273.9 meV per atom. For the energy relative to the lowest polymorph listed for this composition, the calculation gives 0.4065 eV per atom.

It has space group Pm-3m (No. 221), with a = 4.7645 Å, b = 4.7645 Å, c = 4.7645 Å, α = 90.00°, β = 90.00° and γ = 90.00°. The inequivalent atoms are Ga at (0.0000, 0.0000, 0.0000), Re at (0.0000, 0.5000, 0.5000) and W at (0.5000, 0.5000, 0.5000).

# 5
VASP calculation (GGA-PBE) on crystalline Pm2HoTm4Sc at its relaxed geometry.

The electronic total energy comes out at -4.75 eV/atom. The energy of formation is 36.6 meV per atom.

It has space group P4/mmm (No. 123), with a = 4.9723 Å, b = 4.9723 Å, c = 9.8588 Å, α = 90.00°, β = 90.00° and γ = 90.00°. The inequivalent atoms are Pm at (0.0000, 0.0000, 0.0000), Pm at (0.5000, 0.5000, 0.5000), Ho at (0.0000, 0.0000, 0.5000), Tm at (0.0000, 0.5000, 0.2458) and Sc at (0.5000, 0.5000, 0.0000).

# 6
VASP calculation (GGA-PBE) on crystalline ZnAg2Rh at its relaxed geometry.

The electronic total energy comes out at -3.35 eV/atom. The energy of formation is 232.3 meV per atom.

It has space group I-42d (No. 122), with a = 3.7620 Å, b = 3.7620 Å, c = 19.5781 Å, α = 90.00°, β = 90.00° and γ = 90.00°. The inequivalent atoms are Zn at (0.0000, 0.0000, 0.0000), Ag at (0.2486, 0.2500, 0.1250) and Rh at (0.0000, 0.0000, 0.5000).